A relaxed structure of ZnW2Cl. Source: Alexandria via LeMat-Bulk, functional GGA-PBE.

Values from the calculation:
The total energy is -24.186 eV for the cell shown. As for the formation energy (no corrections): 1210 meV/atom. As for the symmetry: P4/mmm.

Cell and atoms, written as POSCAR:
```
ZnW2Cl
1.0
3.800 0.000 0.000
0.000 3.800 0.000
0.000 0.000 4.630
Zn W Cl
1 2 1
direct
0.000 0.000 0.000
0.000 0.500 0.500
0.500 0.000 0.500
0.500 0.500 0.000
```